[1]
DFT (SCAN) results for a crystal of BaZn2CoF relaxed with PBEsol.

Calculated volume   22.10 Å³/atom
Energy relative to the elements, uncorrected   -0.28 eV/atom
Total moment   0.40 μB/atom

Cell: 4.938 4.731 4.731 Å, 90.00 90.00 90.00°
Site moments in Bohr magnetons follow the coordinates.
Fractional positions:
Zn 0.000 0.500 0.000  0.02
Zn 0.000 0.000 0.500  0.02
Ba 0.500 0.000 0.000  -0.04
Co 0.500 0.500 0.500  2.03
F 0.000 0.000 0.000  0.01



[2]
DFT (SCAN) results for a crystal of BaZnCoF7 relaxed with PBEsol.

Calculated volume   12.51 Å³/atom
Energy relative to the elements, uncorrected   -2.93 eV/atom
Total moment   0.01 μB/atom

Cell: 5.463 9.424 9.733 Å, 90.00 90.00 93.12°
Site moments in Bohr magnetons follow the coordinates.
Fractional positions:
F 0.264 0.993 0.308  0.01
F 0.644 0.630 0.043  0.00
F 0.736 0.007 0.692  0.01
F 0.736 0.507 0.808  0.01
F 0.117 0.639 0.455  0.01
F 0.644 0.130 0.457  0.00
F 0.620 0.621 0.545  0.00
F 0.620 0.121 0.955  0.00
F 0.025 0.754 0.227  0.00
F 0.904 0.379 0.056  0.00
F 0.380 0.879 0.045  0.00
F 0.096 0.621 0.944  0.00
F 0.356 0.870 0.543  0.00
F 0.117 0.139 0.045  0.01
F 0.025 0.254 0.273  0.00
F 0.473 0.251 0.202  0.01
F 0.975 0.746 0.727  0.00
F 0.356 0.370 0.957  0.00
F 0.527 0.249 0.702  0.01
F 0.096 0.121 0.556  0.00
F 0.380 0.379 0.455  0.00
F 0.883 0.361 0.545  0.01
F 0.527 0.749 0.798  0.01
F 0.975 0.246 0.773  0.00
F 0.473 0.751 0.298  0.01
F 0.904 0.879 0.444  0.00
F 0.264 0.493 0.192  0.01
F 0.883 0.861 0.955  0.01
Ba 0.744 0.999 0.182  0.00
Ba 0.744 0.499 0.318  0.00
Ba 0.256 0.501 0.682  0.00
Ba 0.256 0.001 0.818  0.00
Co 0.195 0.813 0.383  0.08
Co 0.195 0.313 0.117  0.08
Co 0.805 0.187 0.617  0.08
Co 0.805 0.687 0.883  0.08
Zn 0.695 0.812 0.599  0.00
Zn 0.305 0.188 0.401  0.00
Zn 0.695 0.312 0.901  0.00
Zn 0.305 0.688 0.099  0.00



[3]
DFT (SCAN) results for a crystal of BaZr2CoF relaxed with PBEsol.

Calculated volume   20.16 Å³/atom
Energy relative to the elements, uncorrected   -0.19 eV/atom
Total moment   0.19 μB/atom

Cell: 4.419 4.419 5.162 Å, 90.00 90.00 90.00°
Site moments in Bohr magnetons follow the coordinates.
Fractional positions:
Ba 0.000 0.000 0.500  -0.12
F 0.000 0.000 0.000  0.00
Co 0.500 0.500 0.500  1.88
Zr 0.500 0.000 0.000  -0.22
Zr 0.000 0.500 0.000  -0.22



[4]
DFT (SCAN) results for a crystal of BaFeCo3 relaxed with PBEsol.

Calculated volume   17.66 Å³/atom
Total moment   1.54 μB/atom
ΔH_f (0 K)   0.78 eV per atom

Cell: 4.453 4.453 4.453 Å, 90.00 90.00 90.00°
Site moments in Bohr magnetons follow the coordinates.
Fractional positions:
Co 0.500 0.000 0.000  1.96
Co 0.000 0.500 0.000  1.96
Co 0.000 0.000 0.500  1.96
Fe 0.000 0.000 0.000  2.54
Ba 0.500 0.500 0.500  -0.19



[5]
DFT (SCAN) results for a crystal of BaFeCo2 relaxed with PBEsol.

Calculated volume   20.54 Å³/atom
ΔE to the lowest computed polymorph   1.516 eV/f.u.
Total moment   1.35 μB/atom
ΔH_f (0 K)   0.71 eV per atom

Cell: 3.917 4.105 5.219 Å, 101.76 90.00 90.00°
Site moments in Bohr magnetons follow the coordinates.
Fractional positions:
Co 0.000 0.238 0.420  1.60
Co 0.000 0.762 0.580  1.60
Fe 0.500 0.000 0.500  2.76
Ba 0.500 0.500 0.000  -0.16



[6]
DFT (SCAN) results for a crystal of BaFeCo2 relaxed with PBEsol.

Calculated volume   19.25 Å³/atom
ΔE to the lowest computed polymorph   0.000 eV/f.u.
Total moment   1.27 μB/atom
ΔH_f (0 K)   0.34 eV per atom

Cell: 3.998 3.998 6.022 Å, 70.61 70.61 60.00°
Site moments in Bohr magnetons follow the coordinates.
Fractional positions:
Co 0.186 0.186 0.443  1.59
Co 0.814 0.814 0.557  1.59
Fe 0.500 0.500 0.500  2.60
Ba 0.000 0.000 0.000  -0.20



[7]
DFT (SCAN) results for a crystal of Ba2Nd2Fe3CoO12 relaxed with PBEsol.

Calculated volume   11.26 Å³/atom
Energy relative to the elements, uncorrected   -2.39 eV/atom
Total moment   0.63 μB/atom

Cell: 5.424 5.424 7.657 Å, 90.00 90.00 90.00°
Site moments in Bohr magnetons follow the coordinates.
Fractional positions:
O 0.249 0.751 0.500  0.09
O 0.249 0.249 0.500  0.09
O 0.751 0.249 0.000  0.12
O 0.249 0.751 0.000  0.12
O 0.500 0.500 0.249  0.10
O 0.249 0.249 0.000  0.12
O 0.751 0.751 0.500  0.09
O 0.000 0.000 0.248  0.12
O 0.000 0.000 0.752  0.12
O 0.751 0.751 0.000  0.12
O 0.751 0.249 0.500  0.09
O 0.500 0.500 0.751  0.10
Nd 0.000 0.500 0.256  0.01
Nd 0.500 0.000 0.744  0.01
Ba 0.500 0.000 0.250  0.01
Ba 0.000 0.500 0.750  0.01
Fe 0.000 0.000 0.500  3.61
Fe 0.000 0.000 0.000  3.23
Fe 0.500 0.500 0.000  3.56
Co 0.500 0.500 0.500  0.58



[8]
DFT (SCAN) results for a crystal of BaSr7Fe7CoO24 relaxed with PBEsol.

Calculated volume   11.00 Å³/atom
Energy relative to the elements, uncorrected   -2.26 eV/atom
Total moment   0.66 μB/atom

Cell: 7.605 7.605 7.605 Å, 90.02 90.02 90.02°
Site moments in Bohr magnetons follow the coordinates.
Fractional positions:
O 0.249 0.499 0.001  0.12
O 0.499 0.001 0.249  0.12
O 0.496 0.751 0.004  0.11
O 0.496 0.753 0.496  0.10
O 0.004 0.004 0.750  0.13
O 0.496 0.004 0.751  0.11
O 0.248 0.499 0.499  0.10
O 0.001 0.250 0.001  0.13
O 0.751 0.004 0.496  0.11
O 0.001 0.249 0.499  0.12
O 0.004 0.750 0.004  0.13
O 0.499 0.249 0.001  0.12
O 0.750 0.004 0.004  0.13
O 0.499 0.248 0.499  0.10
O 0.001 0.499 0.249  0.12
O 0.249 0.001 0.499  0.12
O 0.250 0.001 0.001  0.13
O 0.001 0.001 0.250  0.13
O 0.753 0.496 0.496  0.10
O 0.004 0.751 0.496  0.11
O 0.004 0.496 0.751  0.11
O 0.499 0.499 0.248  0.10
O 0.751 0.496 0.004  0.11
O 0.496 0.496 0.753  0.10
Fe 0.499 0.499 0.002  3.13
Fe 0.499 0.002 0.499  3.13
Fe 0.001 0.001 0.001  3.25
Fe 0.001 0.001 0.499  3.19
Fe 0.499 0.001 0.001  3.19
Fe 0.001 0.499 0.001  3.19
Fe 0.002 0.499 0.499  3.13
Sr 0.749 0.749 0.251  0.01
Sr 0.251 0.749 0.251  0.01
Sr 0.749 0.251 0.251  0.01
Sr 0.251 0.749 0.749  0.01
Sr 0.251 0.251 0.251  0.01
Sr 0.251 0.251 0.749  0.01
Sr 0.749 0.251 0.749  0.01
Ba 0.749 0.749 0.749  0.01
Co 0.499 0.499 0.499  0.74



[9]
DFT (SCAN) results for a crystal of Ba2FeCoSe relaxed with PBEsol.

Calculated volume   27.32 Å³/atom
Energy relative to the elements, uncorrected   -0.14 eV/atom
Total moment   0.77 μB/atom

Cell: 4.111 5.764 5.764 Å, 90.00 90.00 90.00°
Site moments in Bohr magnetons follow the coordinates.
Fractional positions:
Ba 0.000 0.000 0.500  -0.05
Ba 0.000 0.500 0.000  -0.05
Fe 0.000 0.000 0.000  2.33
Se 0.500 0.500 0.500  0.01
Co 0.500 0.000 0.000  1.81



[10]
DFT (SCAN) results for a crystal of BaGa3Co relaxed with PBEsol.

Calculated volume   19.99 Å³/atom
Total moment   0.00 μB/atom
ΔH_f (0 K)   -0.36 eV per atom

Cell: 4.641 4.641 4.641 Å, 90.00 90.00 90.00°
Fractional positions:
Ba 0.500 0.500 0.500
Ga 0.500 0.000 0.000
Ga 0.000 0.000 0.500
Ga 0.000 0.500 0.000
Co 0.000 0.000 0.000



[11]
DFT (SCAN) results for a crystal of BaGaCo2Pt relaxed with PBEsol.

Calculated volume   21.88 Å³/atom
Total moment   0.91 μB/atom
ΔH_f (0 K)   -0.03 eV per atom

Cell: 4.678 4.836 4.836 Å, 90.00 90.00 90.00°
Site moments in Bohr magnetons follow the coordinates.
Fractional positions:
Ga 0.500 0.000 0.000  0.03
Co 0.000 0.500 0.000  2.25
Co 0.000 0.000 0.500  2.25
Ba 0.500 0.500 0.500  -0.07
Pt 0.000 0.000 0.000  0.25



[12]
DFT (SCAN) results for a crystal of Ba3CoGe relaxed with PBEsol.

Calculated volume   33.60 Å³/atom
Total moment   0.00 μB/atom
ΔH_f (0 K)   0.27 eV per atom

Cell: 5.518 5.518 5.518 Å, 90.00 90.00 90.00°
Fractional positions:
Ge 0.500 0.500 0.500
Ba 0.500 0.000 0.000
Ba 0.000 0.500 0.000
Ba 0.000 0.000 0.500
Co 0.000 0.000 0.000